DFT (GGA-PBE) results for a geometry-optimized ZrCo2Ni structure.

Unit cell a=3.192 b=3.192 c=5.388 alpha=90.00 beta=90.00 gamma=90.00
Space group P4mm (No. 99)
Symmetry-distinct sites (fractional):
Zr (0.000, 0.000, 0.000) [1 per cell]
Co (0.000, 0.000, 0.494) [1 per cell]
Co (0.500, 0.500, 0.288) [1 per cell]
Ni (0.500, 0.500, 0.732) [1 per cell]

Summary:
ΔE_f: -0.09 eV/atom
calculated volume: 55 Å³/cell
magnetic moment: 0.63 μB/atom

DFT (GGA-PBE) results for a geometry-optimized Tb8Pm3In structure.

Unit cell a=8.671 b=8.671 c=11.295 alpha=90.00 beta=90.00 gamma=90.00
Space group I-42m (No. 121)
Symmetry-distinct sites (fractional):
Tb (0.126, 0.126, 0.252) [8 per cell]
Tb (0.248, 0.248, 0.513) [8 per cell]
Pm (0.000, 0.000, 0.500) [2 per cell]
Pm (0.000, 0.500, 0.250) [4 per cell]
In (0.000, 0.000, 0.000) [2 per cell]

Summary:
ΔE_f: 0.49 eV/atom
calculated volume: 849 Å³/cell
magnetic moment: 0.00 μB/atom

DFT (GGA-PBE) results for a geometry-optimized TbErZrSc structure.

Unit cell a=7.569 b=7.569 c=7.569 alpha=90.00 beta=90.00 gamma=90.00
Space group F-43m (No. 216)
Symmetry-distinct sites (fractional):
Tb (0.000, 0.000, 0.000) [4 per cell]
Er (0.250, 0.250, 0.250) [4 per cell]
Zr (0.000, 0.000, 0.500) [4 per cell]
Sc (0.250, 0.250, 0.750) [4 per cell]

Summary:
ΔE_f: 0.20 eV/atom
calculated volume: 434 Å³/cell
magnetic moment: 0.40 μB/atom

DFT (GGA-PBE) results for a geometry-optimized La3SmAg2 structure.

Unit cell a=3.802 b=3.802 c=12.696 alpha=90.00 beta=90.00 gamma=90.00
Space group P4/mmm (No. 123)
Symmetry-distinct sites (fractional):
La (0.000, 0.000, 0.000) [1 per cell]
La (0.000, 0.000, 0.303) [2 per cell]
Sm (0.500, 0.500, 0.500) [1 per cell]
Ag (0.500, 0.500, 0.155) [2 per cell]

Summary:
ΔE_f: -0.16 eV/atom
calculated volume: 184 Å³/cell
magnetic moment: 0.04 μB/atom

Question: Which value of calculated volume does entry 4 give?
Answer: 184 Å³/cell

Question: Which of these has the highest magnetic moment?
Answer: ZrCo2Ni

Question: What is the ΔE_f in the fourth record?
Answer: -0.16 eV/atom

Question: Which formula does entry 4 have?
Answer: La3SmAg2